{
  "formula": "VPO2F",
  "functional": "PBE+U",
  "state": "relaxed",
  "m_tot_mub_per_cell": 0.52,
  "final_energy_ev_per_cell": -28.847,
  "lattice": [[3.6031, 0.0000, 0.0000], [0.0000, 3.6031, 0.0000], [0.0000, 0.0000, 5.1511]],
  "species": ["F", "O", "O", "V", "P"],
  "fractional_positions": [[0.5000, 0.5000, 0.5000], [0.0000, 0.5000, 0.0000], [0.5000, 0.0000, 0.0000], [0.0000, 0.0000, 0.0000], [0.0000, 0.0000, 0.5000]]
}